# 1
SrScRu2 (PBE-GGA, optimized geometry); DOS(E_F) = 6.33 states/eV per cell; raw total energy = -25.2 eV per cell; ΔE_f = 0.338 eV/atom; space group = P4/mmm; ρ = 7.2 g cm⁻³
1.0
-4.6227 -1.0258 0.7405
-0.4412 -1.3214 -4.5858
0.8337 -3.1581 0.8298
Ru Sr Sc
2 1 1
Cartesian
0.0000 0.0000 0.0000 Ru
-2.5319 -1.1736 -1.9227 Ru
0.1963 -2.2398 -1.8780 Sr
-1.8945 -2.0920 0.7851 Sc

# 2
SrScRu2 (PBE-GGA, optimized geometry); DOS(E_F) = 3.83 states/eV per cell; raw total energy = -24.7 eV per cell; ΔE_f = 0.465 eV/atom; space group = C2/m; ρ = 7.2 g cm⁻³
1.0
5.7891 -0.0047 -0.0136
-2.6928 4.6509 -0.0029
0.4036 0.9875 2.8549
Sr Sc Ru
1 1 2
Cartesian
1.5482 2.3231 -0.0082 Sr
-1.1446 2.8192 1.4260 Sc
3.0963 0.4914 1.4206 Ru
0.0000 0.0000 0.0000 Ru

# 3
SrScRu (PBE-GGA, optimized geometry); DOS(E_F) = 3.51 states/eV per cell; raw total energy = -16.6 eV per cell; ΔE_f = 0.235 eV/atom; space group = P3m1; ρ = 4.9 g cm⁻³
1.0
3.5795 0.0000 0.0000
-1.7897 3.0999 0.0000
0.0000 0.0000 7.1666
Sr Sc Ru
1 1 1
Cartesian
0.0000 2.0666 5.1617 Sr
1.7897 1.0333 1.7798 Sc
0.0000 0.0000 0.2252 Ru

# 4
Sr2ScRu (PBE-GGA, optimized geometry); DOS(E_F) = 4.54 states/eV per cell; raw total energy = -16.8 eV per cell; ΔE_f = 0.545 eV/atom; space group = C2/m; ρ = 5.0 g cm⁻³
1.0
4.5219 -0.7118 0.4964
-3.6326 7.3300 0.9806
0.0199 2.9477 4.1175
Sr Ru Sc
2 1 1
Cartesian
-1.8064 5.1388 2.5490 Sr
0.0000 0.0000 0.0000 Sr
0.4447 3.3091 0.7385 Ru
2.2709 1.1179 2.3069 Sc

# 5
SrScRu2 (PBE-GGA, optimized geometry); DOS(E_F) = 2.75 states/eV per cell; raw total energy = -25.2 eV per cell; ΔE_f = 0.334 eV/atom; space group = R-3m; ρ = 7.1 g cm⁻³
1.0
-2.4788 -8.1823 -2.4156
-2.1018 -8.5983 0.7628
-4.8744 -7.4173 -0.3925
Ru Sc Sr
2 1 1
Cartesian
-4.8091 -12.3079 -1.0403 Ru
-9.3734 -23.9891 -2.0276 Ru
-2.3638 -6.0495 -0.5113 Sc
-7.0913 -18.1485 -1.5340 Sr

# 6
SrScRu (PBE-GGA, optimized geometry); DOS(E_F) = 2.73 states/eV per cell; raw total energy = -16.7 eV per cell; ΔE_f = 0.183 eV/atom; space group = P3m1; ρ = 4.8 g cm⁻³
1.0
4.3720 0.0000 0.0000
-2.1860 3.7863 0.0000
0.0000 0.0000 4.8915
Sr Sc Ru
1 1 1
Cartesian
2.1860 1.2621 3.2632 Sr
0.0000 2.5242 0.8171 Sc
0.0000 0.0000 0.8113 Ru

# 7
SrScRu2 (PBE-GGA, optimized geometry); DOS(E_F) = 3.75 states/eV per cell; raw total energy = -24.6 eV per cell; ΔE_f = 0.483 eV/atom; space group = F-43m; ρ = 7.3 g cm⁻³
1.0
-2.3491 -0.0747 4.1337
-3.1848 -3.4239 0.8632
0.9488 -3.3744 3.2132
Ru Sc Sr
2 1 1
Cartesian
-1.1463 -1.7183 2.0525 Ru
0.0000 0.0000 0.0000 Ru
-2.2926 -3.4365 4.1050 Sc
-3.4388 -5.1548 6.1575 Sr

# 8
SrScRu2 (PBE-GGA, optimized geometry); DOS(E_F) = 2.47 states/eV per cell; raw total energy = -25.7 eV per cell; ΔE_f = 0.219 eV/atom; space group = C2/m; ρ = 6.5 g cm⁻³
1.0
-3.3013 -2.6933 1.5591
-2.9967 -3.0270 -1.5620
3.5175 -5.3371 0.9140
Sc Ru Sr
1 2 1
Cartesian
-2.0854 -8.2931 0.6834 Sc
3.1731 -4.9767 0.8419 Ru
-1.0458 -5.8891 0.5277 Ru
-0.6951 -2.7644 0.2278 Sr

- The lowest raw total energy belongs to which entry?
  number 8

- Which of these has the highest ρ?
  number 7